{"formula": "MnIr2O", "functional": "PBE+U", "state": "optimized geometry", "rho_g_cm3": 13.3, "final_energy_ha_per_atom": -0.2621, "cell": [[6.967, 0.000, 0.000], [0.000, 6.967, 0.000], [3.484, 3.484, 2.342]], "species": ["Mn", "Mn", "Ir", "Ir", "Ir", "Ir", "O", "O"], "fractional_positions": [[0.750, 0.250, 0.500], [0.000, 0.000, 0.000], [0.375, 0.454, 0.750], [0.875, 0.796, 0.750], [0.204, 0.625, 0.250], [0.546, 0.125, 0.250], [0.250, 0.750, 0.500], [0.500, 0.500, 0.000]]}